# 1
Computed, not measured: crystalline FeSnPb at its relaxed geometry at the PBE level of DFT.

a b c (Å): 4.409 4.419 8.806
angles (deg): 90.00 75.68 59.92
Site moments in Bohr magnetons follow the coordinates.
Element x y z (fractional)
Fe (0.016, 0.079, 0.475)  1.96
Fe (0.831, 0.171, 0.754)  2.59
Sn (0.418, 0.378, 0.372)  -0.06
Sn (0.233, 0.970, 0.152)  0.00
Pb (0.584, 0.795, 0.625)  -0.04
Pb (0.055, 0.559, 0.921)  -0.04

Results
VASP energy ... -30.18 eV for the cell shown
ΔH_f (0 K) ... 0.36 eV/atom


# 2
Computed, not measured: crystalline FeSnPb2 at its relaxed geometry at the PBE level of DFT.

a b c (Å): 4.400 4.400 11.370
angles (deg): 78.84 78.84 90.00
Site moments in Bohr magnetons follow the coordinates.
Element x y z (fractional)
Pb (0.134, 0.625, 0.250)  -0.01
Pb (0.616, 0.125, 0.250)  -0.01
Pb (0.375, 0.384, 0.750)  -0.01
Pb (0.875, 0.866, 0.750)  -0.01
Fe (0.500, 0.500, 0.000)  2.97
Fe (0.250, 0.750, 0.500)  2.97
Sn (0.000, 0.000, 0.000)  -0.05
Sn (0.750, 0.250, 0.500)  -0.05

Results
VASP energy ... -35.21 eV for the cell shown
ΔH_f (0 K) ... 0.57 eV/atom


# 3
Computed, not measured: crystalline Sr3FePb at its relaxed geometry at the PBE level of DFT.

a b c (Å): 6.358 6.358 6.358
angles (deg): 90.00 90.00 90.00
Site moments in Bohr magnetons follow the coordinates.
Element x y z (fractional)
Pb (0.000, 0.000, 0.000)  -0.01
Sr (0.500, 0.000, 0.000)  -0.02
Sr (0.000, 0.000, 0.500)  -0.02
Sr (0.000, 0.500, 0.000)  -0.02
Fe (0.500, 0.500, 0.500)  3.14

Results
VASP energy ... -14.49 eV for the cell shown
ΔH_f (0 K) ... 0.54 eV/atom


# 4
Computed, not measured: crystalline SrFe3Pb at its relaxed geometry at the PBE level of DFT.

a b c (Å): 5.034 5.034 5.034
angles (deg): 90.00 90.00 90.00
Site moments in Bohr magnetons follow the coordinates.
Element x y z (fractional)
Sr (0.500, 0.500, 0.500)  -0.09
Fe (0.000, 0.500, 0.000)  2.90
Fe (0.500, 0.000, 0.000)  2.75
Fe (0.000, 0.000, 0.500)  2.88
Pb (0.000, 0.000, 0.000)  -0.07

Results
VASP energy ... -25.24 eV for the cell shown
Distance to the lowest polymorph of the same formula ... 0.000 eV per atom
ΔH_f (0 K) ... 1.11 eV/atom


# 5
Computed, not measured: crystalline Ta2FePb at its relaxed geometry at the PBE level of DFT.

a b c (Å): 3.028 3.028 7.956
angles (deg): 90.00 90.00 95.68
Site moments in Bohr magnetons follow the coordinates.
Element x y z (fractional)
Ta (0.000, 0.000, 0.054)  -0.04
Ta (0.000, 0.000, 0.446)  -0.04
Pb (0.500, 0.500, 0.750)  -0.01
Fe (0.500, 0.500, 0.250)  1.01

Results
VASP energy ... -34.69 eV for the cell shown
ΔH_f (0 K) ... 0.30 eV/atom


# 6
Computed, not measured: crystalline TaFe2Pb at its relaxed geometry at the PBE level of DFT.

a b c (Å): 4.556 4.556 5.158
angles (deg): 79.01 79.01 40.61
Site moments in Bohr magnetons follow the coordinates.
Element x y z (fractional)
Fe (0.511, 0.511, 0.439)  1.97
Fe (0.989, 0.989, 0.061)  1.97
Pb (0.750, 0.750, 0.750)  -0.01
Ta (0.250, 0.250, 0.250)  -0.39

Results
VASP energy ... -30.77 eV for the cell shown
ΔH_f (0 K) ... 0.43 eV/atom


# 7
Computed, not measured: crystalline TaFePb2 at its relaxed geometry at the PBE level of DFT.

a b c (Å): 4.199 4.199 10.363
angles (deg): 78.31 78.31 90.00
Element x y z (fractional)
Pb (0.618, 0.125, 0.250)
Pb (0.375, 0.382, 0.750)
Pb (0.132, 0.625, 0.250)
Pb (0.875, 0.868, 0.750)
Fe (0.500, 0.500, 0.000)
Fe (0.250, 0.750, 0.500)
Ta (0.000, 0.000, 0.000)
Ta (0.750, 0.250, 0.500)

Results
VASP energy ... -46.54 eV for the cell shown
Distance to the lowest polymorph of the same formula ... 0.868 eV per atom
ΔH_f (0 K) ... 1.12 eV/atom


# 8
Computed, not measured: crystalline TaFePb at its relaxed geometry at the PBE level of DFT.

a b c (Å): 4.531 4.531 4.531
angles (deg): 60.00 60.00 60.00
Site moments in Bohr magnetons follow the coordinates.
Element x y z (fractional)
Ta (0.750, 0.750, 0.750)  -0.55
Fe (0.000, 0.000, 0.000)  2.28
Pb (0.500, 0.500, 0.500)  0.02

Results
VASP energy ... -21.10 eV for the cell shown
Distance to the lowest polymorph of the same formula ... 0.618 eV per atom
ΔH_f (0 K) ... 0.97 eV/atom